Compound: CsMgSb2Te
Source: the Alexandria database
Functional: PBE-GGA
Structure: optimized geometry

The final energy is -7.59 eV per formula unit. As for the crystal system: tetragonal. As for the size of the total moment: 0.052 μB/atom. The value obtained for the density of states at the Fermi level is 1.414 states/eV/atom. The calculation puts the formation energy (no corrections) at 1249 meV per atom. The distance to the lowest polymorph of the same formula is 1295 meV per atom.

It has space group P4/mmm (No. 123), with a = 6.242 Å, b = 6.242 Å, c = 6.381 Å, α = 90.00°, β = 90.00° and γ = 90.00°. The distinct sites, in fractional coordinates, are Cs at (0.000, 0.000, 0.000), Mg at (0.500, 0.500, 0.500), Sb at (0.000, 0.500, 0.000) and Te at (0.000, 0.000, 0.500).

=====

Compound: Dy5HoTm2Sc
Source: the Alexandria database
Functional: PBE-GGA
Structure: optimized geometry

The final energy is -41.34 eV per formula unit. As for the crystal system: orthorhombic. As for the size of the total moment: 0.000 μB/atom. The value obtained for the density of states at the Fermi level is 1.724 states/eV/atom. The value obtained for the formation energy from the elements is 168.8 meV/atom.

It has space group Cmc2_1 (No. 36), with a = 5.491 Å, b = 19.801 Å, c = 10.309 Å, α = 90.00°, β = 90.00° and γ = 90.00°. The distinct sites, in fractional coordinates, are Dy at (0.000, 0.017, 0.000), Dy at (0.000, 0.276, 0.303), Dy at (0.000, 0.300, 0.689), Dy at (0.000, 0.378, 0.005), Dy at (0.000, 0.482, 0.724), Ho at (0.000, 0.409, 0.440), Tm at (0.000, 0.111, 0.294), Tm at (0.000, 0.114, 0.722) and Sc at (0.000, 0.195, 0.999).

=====

Compound: Rb3Ga2P4
Source: the Alexandria database
Functional: PBE-GGA
Structure: optimized geometry

The final energy is -33.07 eV per formula unit. As for the crystal system: monoclinic. As for the size of the total moment: 0.000 μB/atom. The value obtained for the density of states at the Fermi level is 0.296 states/eV/atom. The value obtained for the formation energy from the elements is -274.9 meV/atom.

It has space group C2/c (No. 15), with a = 13.621 Å, b = 10.883 Å, c = 7.461 Å, α = 90.00°, β = 104.80° and γ = 90.00°. The distinct sites, in fractional coordinates, are Rb at (0.000, 0.087, 0.250), Rb at (0.116, 0.366, 0.559), Ga at (0.207, 0.113, 0.024), P at (0.156, 0.324, 0.110) and P at (0.204, 0.087, 0.691).

=====

Compound: WSeSN2
Source: the Alexandria database
Functional: PBE-GGA
Structure: optimized geometry

The final energy is -27.38 eV per formula unit. As for the crystal system: tetragonal. As for the size of the total moment: 0.407 μB/atom. The value obtained for the density of states at the Fermi level is 0.454 states/eV/atom. The calculation puts the formation energy (no corrections) at 1967 meV per atom. The distance to the lowest polymorph of the same formula is 1377 meV per atom.

It has space group P4/mmm (No. 123), with a = 3.800 Å, b = 3.800 Å, c = 4.620 Å, α = 90.00°, β = 90.00° and γ = 90.00°. The distinct sites, in fractional coordinates, are W at (0.000, 0.000, 0.000), Se at (0.500, 0.500, 0.500), S at (0.500, 0.500, 0.000) and N at (0.000, 0.500, 0.500).

=====

Compound: Ag2CBr
Source: the Alexandria database
Functional: PBE-GGA
Structure: optimized geometry

The final energy is -10.28 eV per formula unit. As for the crystal system: cubic. As for the size of the total moment: 0.367 μB/atom. The value obtained for the density of states at the Fermi level is 1.271 states/eV/atom. The calculation puts the formation energy (no corrections) at 1581 meV per atom. The distance to the lowest polymorph of the same formula is 580 meV per atom.

It has space group Fm-3m (No. 225), with a = 6.602 Å, b = 6.602 Å, c = 6.602 Å, α = 90.00°, β = 90.00° and γ = 90.00°. The distinct sites, in fractional coordinates, are Ag at (0.250, 0.250, 0.250), C at (0.000, 0.000, 0.000) and Br at (0.000, 0.000, 0.500).

=====

Compound: Ce3Re
Source: the Alexandria database
Functional: PBE-GGA
Structure: optimized geometry

The final energy is -29.31 eV per formula unit. As for the crystal system: orthorhombic. As for the size of the total moment: 0.000 μB/atom. The value obtained for the density of states at the Fermi level is 2.275 states/eV/atom. The value obtained for the formation energy from the elements is 235.6 meV/atom.

It has space group Pmm2 (No. 25), with a = 3.073 Å, b = 4.994 Å, c = 5.822 Å, α = 90.00°, β = 90.00° and γ = 90.00°. The distinct sites, in fractional coordinates, are Ce at (0.000, 0.000, 0.000), Ce at (0.000, 0.500, 0.230), Ce at (0.500, 0.500, 0.679) and Re at (0.500, 0.000, 0.498).

=====

Compound: LaSmDy4Er2
Source: the Alexandria database
Functional: PBE-GGA
Structure: optimized geometry

The final energy is -37.15 eV per formula unit. As for the crystal system: triclinic. As for the size of the total moment: 0.000 μB/atom. The value obtained for the density of states at the Fermi level is 1.446 states/eV/atom. The value obtained for the formation energy from the elements is 4.1 meV/atom.

It has space group P-1 (No. 2), with a = 7.161 Å, b = 7.166 Å, c = 11.536 Å, α = 89.98°, β = 89.99° and γ = 60.11°. The distinct sites, in fractional coordinates, are La at (0.000, 0.000, 0.000), La at (0.500, 0.500, 0.000), Sm at (0.000, 0.000, 0.500), Sm at (0.500, 0.000, 0.000), Dy at (0.166, 0.167, 0.253), Dy at (0.167, 0.667, 0.253), Dy at (0.334, 0.333, 0.747), Dy at (0.334, 0.833, 0.747), Er at (0.000, 0.500, 0.000), Er at (0.000, 0.500, 0.500), Er at (0.500, 0.000, 0.500) and Er at (0.500, 0.500, 0.500).

=====

Compound: Cs2PdI3
Source: the Alexandria database
Functional: PBE-GGA
Structure: optimized geometry

The final energy is -17.34 eV per formula unit. As for the crystal system: orthorhombic. As for the size of the total moment: 0.000 μB/atom. The value obtained for the density of states at the Fermi level is 0.160 states/eV/atom. The calculation puts the formation energy (no corrections) at -966 meV per atom.

It has space group Cmcm (No. 63), with a = 5.501 Å, b = 22.039 Å, c = 9.324 Å, α = 90.00°, β = 90.00° and γ = 90.00°. The distinct sites, in fractional coordinates, are Cs at (0.000, 0.011, 0.250), Cs at (0.000, 0.212, 0.250), Pd at (0.000, 0.371, 0.250), I at (0.000, 0.155, 0.750) and I at (0.000, 0.388, 0.536).

=====

Compound: Pm2Pr5Sm
Source: the Alexandria database
Functional: PBE-GGA
Structure: optimized geometry

The final energy is -38.01 eV per formula unit. As for the crystal system: orthorhombic. As for the size of the total moment: 0.000 μB/atom. The value obtained for the density of states at the Fermi level is 1.657 states/eV/atom. The value obtained for the formation energy from the elements is 13.4 meV/atom.

It has space group Pbam (No. 55), with a = 7.367 Å, b = 14.733 Å, c = 5.225 Å, α = 90.00°, β = 90.00° and γ = 90.00°. The distinct sites, in fractional coordinates, are Pm at (0.250, 0.124, 0.000), Pr at (0.000, 0.000, 0.500), Pr at (0.000, 0.251, 0.500), Pr at (0.249, 0.376, 0.000) and Sm at (0.000, 0.500, 0.500).

=====

Compound: CrCdS2
Source: the Alexandria database
Functional: PBE-GGA
Structure: optimized geometry

The final energy is -20.60 eV per formula unit. As for the crystal system: tetragonal. As for the size of the total moment: 1.000 μB/atom. The value obtained for the density of states at the Fermi level is 0.327 states/eV/atom. The calculation puts the formation energy (no corrections) at -452 meV per atom.

It has space group I-42d (No. 122), with a = 5.708 Å, b = 5.708 Å, c = 11.430 Å, α = 90.00°, β = 90.00° and γ = 90.00°. The distinct sites, in fractional coordinates, are Cr at (0.000, 0.000, 0.000), Cd at (0.000, 0.000, 0.500) and S at (0.219, 0.250, 0.125).

=====

Compound: Pm5PrSn4
Source: the Alexandria database
Functional: PBE-GGA
Structure: optimized geometry

The final energy is -50.19 eV per formula unit. As for the crystal system: monoclinic. As for the size of the total moment: 0.000 μB/atom. The value obtained for the density of states at the Fermi level is 0.622 states/eV/atom. The value obtained for the formation energy from the elements is -564.8 meV/atom.

It has space group C2/m (No. 12), with a = 16.444 Å, b = 5.475 Å, c = 7.296 Å, α = 90.00°, β = 90.33° and γ = 90.00°. The distinct sites, in fractional coordinates, are Pm at (0.000, 0.000, 0.000), Pm at (0.166, 0.500, 0.493), Pm at (0.167, 0.500, 0.009), Pr at (0.000, 0.000, 0.500), Sn at (0.009, 0.500, 0.753) and Sn at (0.177, 0.000, 0.249).

=====

Compound: ZrGaSbTe2
Source: the Alexandria database
Functional: PBE-GGA
Structure: optimized geometry

The final energy is -19.53 eV per formula unit. As for the crystal system: tetragonal. As for the size of the total moment: 0.143 μB/atom. The value obtained for the density of states at the Fermi level is 0.901 states/eV/atom. The calculation puts the formation energy (no corrections) at 491 meV per atom. The distance to the lowest polymorph of the same formula is 527 meV per atom.

It has space group P4/mmm (No. 123), with a = 5.319 Å, b = 5.319 Å, c = 5.138 Å, α = 90.00°, β = 90.00° and γ = 90.00°. The distinct sites, in fractional coordinates, are Zr at (0.000, 0.000, 0.000), Ga at (0.500, 0.500, 0.500), Sb at (0.500, 0.500, 0.000) and Te at (0.000, 0.500, 0.500).

=====

Number 1: volume 49.7 Å³/atom. Number 2: volume 31.1 Å³/atom. Number 3: volume 29.7 Å³/atom. Number 4: volume 13.3 Å³/atom. Number 5: volume 18.0 Å³/atom. Number 6: volume 22.3 Å³/atom. Number 7: volume 32.1 Å³/atom. Number 8: volume 47.1 Å³/atom. Number 9: volume 35.4 Å³/atom. Number 10: volume 23.3 Å³/atom. Number 11: volume 32.8 Å³/atom. Number 12: volume 29.1 Å³/atom.